A plane-wave DFT calculation with PBE was carried out for a relaxed structure of ScNiBiPd.

Values from the calculation:
ΔH_f (0 K)	-0.453	eV/atom
symmetry	F-43m (216)
Fermi-level density of states	2.8	states/eV/f.u.

Cell lengths 4.6771, 4.6771, 4.6771 Å; angles 60.00, 60.00, 60.00 degrees
With the nearest neighbours (Å) after each atom.
Atoms (fractional coordinates):
Ni1 0.2500 0.2500 0.2500  4 Sc 2.86, 4 Bi 2.86
Bi1 0.0000 0.0000 0.0000  4 Pd 2.86, 4 Ni 2.86
Pd1 0.7500 0.7500 0.7500  4 Sc 2.86, 4 Bi 2.86
Sc1 0.5000 0.5000 0.5000  4 Ni 2.86, 4 Pd 2.86

A plane-wave DFT calculation with PBE was carried out for a relaxed structure of SiNiBi2Pd.

Values from the calculation:
formation energy (no corrections)	0.6182	eV/atom
symmetry	P4/mmm (123)
Fermi-level density of states	2.4	states/eV/f.u.

Cell lengths 4.9532, 4.8700, 4.9532 Å; angles 90.00, 90.00, 90.00 degrees
With the nearest neighbours (Å) after each atom.
Atoms (fractional coordinates):
Bi1 0.0000 0.0000 0.5000  2 Ni 2.48
Bi2 0.5000 0.0000 0.0000  2 Ni 2.48
Si1 0.5000 0.5000 0.5000  8 Bi 3.47, 4 Pd 3.50
Pd1 0.0000 0.5000 0.0000  2 Ni 2.44
Ni1 0.0000 0.0000 0.0000  2 Pd 2.44, 4 Bi 2.48

A plane-wave DFT calculation with PBE was carried out for a relaxed structure of ZrNiBiPd.

Values from the calculation:
ΔH_f (0 K)	-0.283	eV/atom
symmetry	F-43m (216)
Fermi-level density of states	2.9	states/eV/f.u.

Cell lengths 4.7149, 4.7149, 4.7149 Å; angles 60.00, 60.00, 60.00 degrees
With the nearest neighbours (Å) after each atom.
Atoms (fractional coordinates):
Bi1 0.0000 0.0000 0.0000  4 Ni 2.89, 4 Pd 2.89
Pd1 0.7500 0.7500 0.7500  4 Zr 2.89, 4 Bi 2.89
Zr1 0.5000 0.5000 0.5000  4 Ni 2.89, 4 Pd 2.89
Ni1 0.2500 0.2500 0.2500  4 Zr 2.89, 4 Bi 2.89

A plane-wave DFT calculation with PBE was carried out for a relaxed structure of PmNi2Bi.

Values from the calculation:
ΔH_f (0 K)	-0.148	eV/atom
symmetry	P4/mmm (123)
Fermi-level density of states	2.3	states/eV/f.u.

Cell lengths 3.7025, 4.5973, 4.5973 Å; angles 90.00, 90.00, 90.00 degrees
With the nearest neighbours (Å) after each atom.
Atoms (fractional coordinates):
Pm1 0.5000 0.0000 0.0000  8 Ni 2.95, 4 Bi 3.25
Ni1 0.0000 0.5000 0.0000  4 Bi 2.95, 4 Pm 2.95, 4 Ni 3.25
Ni2 0.0000 0.0000 0.5000  4 Bi 2.95, 4 Pm 2.95, 4 Ni 3.25
Bi1 0.5000 0.5000 0.5000  8 Ni 2.95, 4 Pm 3.25

A plane-wave DFT calculation with PBE was carried out for a relaxed structure of Pm8Ni2Bi.

Values from the calculation:
ΔH_f (0 K)	-0.192	eV/atom
symmetry	C2/m (12)
Fermi-level density of states	13.7	states/eV/f.u.

Cell lengths 5.5713, 8.1250, 8.1250 Å; angles 115.27, 97.16, 97.16 degrees
With the nearest neighbours (Å) after each atom.
Atoms (fractional coordinates):
Pm1 0.9251 0.9212 0.6670  2 Ni 2.87-2.93
Pm2 0.3001 0.6000 0.6000  4 Pm 3.13-3.45, 2 Ni 3.24, 1 Bi 3.40
Pm3 0.0749 0.0788 0.3330  2 Ni 2.87-2.93
Pm4 0.5000 0.2495 0.7505  2 Ni 2.87
Pm5 0.0749 0.3330 0.0788  2 Ni 2.87-2.93
Pm6 0.5000 0.7505 0.2495  2 Ni 2.87
Pm7 0.9251 0.6670 0.9212  2 Ni 2.87-2.93
Pm8 0.6999 0.4000 0.4000  4 Pm 3.13-3.45, 2 Ni 3.24, 1 Bi 3.40
Bi1 0.5000 0.0000 0.0000  12 Pm 3.40-3.72
Ni1 0.0000 0.7009 0.2991  6 Pm 2.87-2.93
Ni2 0.0000 0.2991 0.7009  6 Pm 2.87-2.93

A plane-wave DFT calculation with PBE was carried out for a relaxed structure of Pm4Ni3Bi8.

Values from the calculation:
ΔH_f (0 K)	-0.533	eV/atom
symmetry	P-4m2 (115)
Fermi-level density of states	8.7	states/eV/f.u.

Cell lengths 4.5772, 4.5772, 19.1821 Å; angles 90.00, 90.00, 90.00 degrees
With the nearest neighbours (Å) after each atom.
Atoms (fractional coordinates):
Pm1 0.0000 0.5000 0.6149  4 Ni 3.18, 8 Bi 3.34-3.48
Pm2 0.0000 0.5000 0.1123  2 Ni 3.14, 9 Bi 3.34-3.48
Pm3 0.5000 0.0000 0.8877  2 Ni 3.14, 9 Bi 3.34-3.48
Pm4 0.5000 0.0000 0.3851  4 Ni 3.18, 8 Bi 3.34-3.48
Ni1 0.5000 0.5000 0.5000  4 Bi 2.68
Ni2 0.0000 0.0000 0.5000  4 Bi 2.68
Ni3 0.0000 0.0000 0.0000  4 Bi 2.64
Bi1 0.5000 0.5000 0.2488  4 Bi 3.24, 4 Pm 3.47-3.48
Bi2 0.5000 0.0000 0.0683  2 Ni 2.64
Bi3 0.0000 0.5000 0.9317  2 Ni 2.64
Bi4 0.5000 0.5000 0.7512  4 Bi 3.24, 4 Pm 3.47-3.48
Bi5 0.0000 0.5000 0.4271  4 Ni 2.68
Bi6 0.0000 0.0000 0.2487  4 Bi 3.24, 4 Pm 3.48
Bi7 0.0000 0.0000 0.7513  4 Bi 3.24, 4 Pm 3.48
Bi8 0.5000 0.0000 0.5729  4 Ni 2.68

A plane-wave DFT calculation with PBE was carried out for a relaxed structure of Pm6Ni2Bi.

Values from the calculation:
ΔH_f (0 K)	-0.325	eV/atom
symmetry	Immm (71)
Fermi-level density of states	9.1	states/eV/f.u.

Cell lengths 8.7408, 8.7408, 8.7408 Å; angles 106.47, 107.49, 114.57 degrees
With the nearest neighbours (Å) after each atom.
Atoms (fractional coordinates):
Bi1 0.0000 0.0000 0.0000  8 Pm 3.20-3.37
Bi2 0.0000 0.5000 0.5000  12 Pm 3.46-3.81
Pm1 0.4784 0.2967 0.1817  2 Ni 2.97
Pm2 0.8851 0.7033 0.1817  2 Ni 2.97
Pm3 0.6903 0.0140 0.3237  3 Ni 2.78-2.92
Pm4 0.2098 0.7755 0.9853  1 Ni 2.86, 1 Bi 3.20
Pm5 0.3097 0.9860 0.6763  3 Ni 2.78-2.92
Pm6 0.6903 0.3666 0.6763  3 Ni 2.78-2.92
Pm7 0.1149 0.2967 0.8183  2 Ni 2.97
Pm8 0.7902 0.7755 0.5657  1 Ni 2.86, 1 Bi 3.20
Pm9 0.7902 0.2245 0.0147  1 Ni 2.86, 1 Bi 3.20
Pm10 0.5216 0.7033 0.8183  2 Ni 2.97
Pm11 0.2098 0.2245 0.4343  1 Ni 2.86, 1 Bi 3.20
Pm12 0.3097 0.6334 0.3237  3 Ni 2.78-2.92
Ni1 0.3667 0.0000 0.3667  1 Ni 2.76, 6 Pm 2.86-2.92
Ni2 0.5000 0.3789 0.8789  1 Ni 2.54, 2 Pm 2.78
Ni3 0.6333 0.0000 0.6333  1 Ni 2.76, 6 Pm 2.86-2.92
Ni4 0.5000 0.6211 0.1211  1 Ni 2.54, 2 Pm 2.78

A plane-wave DFT calculation with PBE was carried out for a relaxed structure of Pm12Ni5Bi.

Values from the calculation:
ΔH_f (0 K)	-0.303	eV/atom
symmetry	Immm (71)
Fermi-level density of states	18.7	states/eV/f.u.

Cell lengths 8.6109, 8.6109, 8.6109 Å; angles 106.56, 112.31, 109.59 degrees
With the nearest neighbours (Å) after each atom.
Atoms (fractional coordinates):
Ni1 0.5000 0.1224 0.6224  1 Ni 2.52, 2 Pm 2.74
Ni2 0.5000 0.8776 0.3776  1 Ni 2.52, 2 Pm 2.74
Ni3 0.6301 0.6301 0.0000  1 Ni 2.58, 2 Pm 2.73
Ni4 0.0000 0.0000 0.0000  4 Pm 2.81
Ni5 0.3699 0.3699 0.0000  1 Ni 2.58, 2 Pm 2.73
Pm1 0.8803 0.1804 0.7000  2 Ni 2.91
Pm2 0.1197 0.8196 0.3000  2 Ni 2.91
Pm3 0.6910 0.6800 0.3710  3 Ni 2.74-2.91
Pm4 0.8090 0.6076 0.7986  2 Ni 2.73-2.81
Pm5 0.6910 0.3200 0.0110  3 Ni 2.74-2.91
Pm6 0.1910 0.3924 0.2014  2 Ni 2.73-2.81
Pm7 0.4804 0.1804 0.3000  2 Ni 2.91
Pm8 0.8090 0.0105 0.2014  2 Ni 2.73-2.81
Pm9 0.5196 0.8196 0.7000  2 Ni 2.91
Pm10 0.3090 0.6800 0.9890  3 Ni 2.74-2.91
Pm11 0.3090 0.3200 0.6290  3 Ni 2.74-2.91
Pm12 0.1910 0.9895 0.7986  2 Ni 2.73-2.81
Bi1 0.0000 0.5000 0.5000  12 Pm 3.50-3.71

A plane-wave DFT calculation with PBE was carried out for a relaxed structure of PmNiBiPt.

Values from the calculation:
ΔH_f (0 K)	-0.461	eV/atom
symmetry	F-43m (216)
Fermi-level density of states	3.3	states/eV/f.u.

Cell lengths 4.9083, 4.9083, 4.9083 Å; angles 60.00, 60.00, 60.00 degrees
With the nearest neighbours (Å) after each atom.
Atoms (fractional coordinates):
Pt1 0.7500 0.7500 0.7500  4 Bi 3.01, 4 Pm 3.01
Ni1 0.2500 0.2500 0.2500  4 Bi 3.01, 4 Pm 3.01
Pm1 0.0000 0.0000 0.0000  4 Ni 3.01, 4 Pt 3.01
Bi1 0.5000 0.5000 0.5000  4 Ni 3.01, 4 Pt 3.01

A plane-wave DFT calculation with PBE was carried out for a relaxed structure of Pm2Ni4BiSb3.

Values from the calculation:
formation energy (no corrections)	-0.5559	eV/atom
symmetry	P-4m2 (115)
Fermi-level density of states	5.4	states/eV/f.u.

Cell lengths 4.4933, 4.4933, 10.1585 Å; angles 90.00, 90.00, 90.00 degrees
With the nearest neighbours (Å) after each atom.
Atoms (fractional coordinates):
Sb1 0.0000 0.0000 0.5000  4 Ni 2.62
Sb2 0.0000 0.5000 0.1238  5 Ni 2.48-2.57
Sb3 0.5000 0.0000 0.8762  5 Ni 2.48-2.57
Bi1 0.5000 0.5000 0.5000  4 Ni 2.62
Pm1 0.5000 0.0000 0.2291  8 Ni 3.23-3.48, 7 Sb 3.35-3.59, 2 Bi 3.55
Pm2 0.0000 0.5000 0.7709  8 Ni 3.23-3.48, 7 Sb 3.35-3.59, 2 Bi 3.55
Ni1 0.0000 0.5000 0.3677  3 Sb 2.48-2.62, 2 Bi 2.62
Ni2 0.0000 0.0000 0.0000  4 Sb 2.57
Ni3 0.5000 0.0000 0.6323  3 Sb 2.48-2.62, 2 Bi 2.62
Ni4 0.5000 0.5000 0.0000  4 Sb 2.57

A plane-wave DFT calculation with PBE was carried out for a relaxed structure of PmNiSnBi.

Values from the calculation:
ΔH_f (0 K)	-0.069	eV/atom
symmetry	F-43m (216)
Fermi-level density of states	3.6	states/eV/f.u.

Cell lengths 5.2020, 5.2020, 5.2020 Å; angles 60.00, 60.00, 60.00 degrees
With the nearest neighbours (Å) after each atom.
Atoms (fractional coordinates):
Pm1 0.0000 0.0000 0.0000  4 Sn 3.19, 4 Ni 3.19
Sn1 0.2500 0.2500 0.2500  4 Bi 3.19, 4 Pm 3.19
Ni1 0.7500 0.7500 0.7500  4 Pm 3.19, 4 Bi 3.19
Bi1 0.5000 0.5000 0.5000  4 Sn 3.19, 4 Ni 3.19

A plane-wave DFT calculation with PBE was carried out for a relaxed structure of PmTlNiBi.

Values from the calculation:
ΔH_f (0 K)	-0.040	eV/atom
symmetry	F-43m (216)
Fermi-level density of states	3.5	states/eV/f.u.

Cell lengths 5.1969, 5.1969, 5.1969 Å; angles 60.00, 60.00, 60.00 degrees
With the nearest neighbours (Å) after each atom.
Atoms (fractional coordinates):
Bi1 0.0000 0.0000 0.0000  4 Ni 3.18, 4 Tl 3.18
Pm1 0.5000 0.5000 0.5000  4 Tl 3.18, 4 Ni 3.18
Ni1 0.2500 0.2500 0.2500  4 Bi 3.18, 4 Pm 3.18
Tl1 0.7500 0.7500 0.7500  4 Bi 3.18, 4 Pm 3.18